# 1
# Sm6Tm2Pu (PBE-GGA, optimized geometry)
data_Sm6Tm2Pu
_chemical_formula_sum 'Sm12 Tm4 Pu2'
_symmetry_space_group_name_H-M 'P 1'
_symmetry_Int_Tables_number 1
_symmetry_space_group_name_Hall 'P 1'
_cell_length_a 8.443
_cell_length_b 6.593
_cell_length_c 11.260
_cell_angle_alpha 90.00
_cell_angle_beta 108.65
_cell_angle_gamma 90.00
loop_
_atom_site_label
_atom_site_type_symbol
_atom_site_fract_x
_atom_site_fract_y
_atom_site_fract_z
_atom_site_occupancy
Sm1 Sm 0.087 0.029 0.196 1
Sm2 Sm 0.087 0.471 0.696 1
Sm3 Sm 0.268 0.183 0.986 1
Sm4 Sm 0.268 0.317 0.486 1
Sm5 Sm 0.340 0.688 0.959 1
Sm6 Sm 0.340 0.812 0.459 1
Sm7 Sm 0.660 0.188 0.541 1
Sm8 Sm 0.660 0.312 0.041 1
Sm9 Sm 0.732 0.683 0.514 1
Sm10 Sm 0.732 0.817 0.014 1
Sm11 Sm 0.913 0.529 0.304 1
Sm12 Sm 0.913 0.971 0.804 1
Tm1 Tm 0.419 0.036 0.749 1
Tm2 Tm 0.419 0.464 0.249 1
Tm3 Tm 0.581 0.536 0.751 1
Tm4 Tm 0.581 0.964 0.251 1
Pu1 Pu 0.000 0.000 0.500 1
Pu2 Pu 0.000 0.500 0.000 1
# N(E_F) (states/eV/cell): 30.33
# Crystal system: monoclinic
# Spin magnetization (Bohr magnetons per cell): 12.51
# Volume (Å³/f.u.): 296.9
# Mass density (g/cm3): 8.30
# E_form (kJ/mol of formula units): 186.4
# DFT total energy (eV/cell): -99.3

# 2
# Sm5Tm12Pu (PBE-GGA, optimized geometry)
data_Sm5Tm12Pu
_chemical_formula_sum 'Sm5 Tm12 Pu1'
_symmetry_space_group_name_H-M 'P 1'
_symmetry_Int_Tables_number 1
_symmetry_space_group_name_Hall 'P 1'
_cell_length_a 10.552
_cell_length_b 10.552
_cell_length_c 6.099
_cell_angle_alpha 106.79
_cell_angle_beta 106.79
_cell_angle_gamma 59.91
loop_
_atom_site_label
_atom_site_type_symbol
_atom_site_fract_x
_atom_site_fract_y
_atom_site_fract_z
_atom_site_occupancy
Sm1 Sm 0.000 0.000 0.000 1
Sm2 Sm 0.167 0.167 0.502 1
Sm3 Sm 0.335 0.335 0.008 1
Sm4 Sm 0.665 0.665 0.992 1
Sm5 Sm 0.833 0.833 0.498 1
Tm1 Tm 0.001 0.665 0.998 1
Tm2 Tm 0.169 0.501 0.501 1
Tm3 Tm 0.171 0.829 0.500 1
Tm4 Tm 0.335 0.665 0.000 1
Tm5 Tm 0.335 0.999 0.002 1
Tm6 Tm 0.499 0.831 0.499 1
Tm7 Tm 0.501 0.169 0.501 1
Tm8 Tm 0.665 0.001 0.998 1
Tm9 Tm 0.665 0.335 0.000 1
Tm10 Tm 0.829 0.171 0.500 1
Tm11 Tm 0.831 0.499 0.499 1
Tm12 Tm 0.999 0.335 0.002 1
Pu1 Pu 0.500 0.500 0.500 1
# N(E_F) (states/eV/cell): 28.27
# Crystal system: monoclinic
# Spin magnetization (Bohr magnetons per cell): 6.63
# Volume (Å³/f.u.): 554.0
# Mass density (g/cm3): 9.06
# E_form (kJ/mol of formula units): 62.6
# DFT total energy (eV/cell): -90.9